Computed, not measured: a relaxed structure of TaTeAs2Se at the GGA-PBE level of DFT.

The structure in CIF format:
```
data_TaTeAs2Se
_cell_length_a 5.1307
_cell_length_b 5.1307
_cell_length_c 4.8567
_cell_angle_alpha 90.00
_cell_angle_beta 90.00
_cell_angle_gamma 90.00
_symmetry_space_group_name_H-M 'P 4/m m m'
_symmetry_Int_Tables_number 123
_symmetry_space_group_name_Hall '-P 4 2'
loop_
_atom_site_label
_atom_site_type_symbol
_atom_site_fract_x
_atom_site_fract_y
_atom_site_fract_z
_atom_site_occupancy
Ta1 Ta 0.0000 0.0000 0.0000 1
Te1 Te 0.5000 0.5000 0.5000 1
As1 As 0.0000 0.5000 0.0000 1
Se1 Se 0.0000 0.0000 0.5000 1
```

**Mass density**: 7.0 Mg/m³
**ΔE to the lowest computed polymorph**: 0 meV per atom
**Energy relative to the elements, uncorrected**: 0.268 eV/atom

Computed, not measured: a relaxed structure of BaLi3Tl9 at the GGA-PBE level of DFT.

The structure in CIF format:
```
data_BaLi3Tl9
_cell_length_a 6.2150
_cell_length_b 15.6519
_cell_length_c 7.9191
_cell_angle_alpha 90.00
_cell_angle_beta 111.38
_cell_angle_gamma 90.00
_symmetry_space_group_name_H-M 'C 1 2/m 1'
_symmetry_Int_Tables_number 12
_symmetry_space_group_name_Hall '-C 2y'
loop_
_atom_site_label
_atom_site_type_symbol
_atom_site_fract_x
_atom_site_fract_y
_atom_site_fract_z
_atom_site_occupancy
Ba1 Ba 0.0000 0.0000 0.0000 1
Li1 Li 0.0000 0.5000 0.5000 1
Li2 Li 0.2500 0.2500 0.0000 1
Tl1 Tl 0.0000 0.0000 0.5000 1
Tl2 Tl 0.0871 0.3875 0.2178 1
Tl3 Tl 0.1574 0.1796 0.3359 1
```

**DFT formation energy**: -177.0 meV per atom
**Mass density**: 9.2 Mg/m³

Computed, not measured: a relaxed structure of Zn4W3 at the GGA-PBE level of DFT.

The structure in CIF format:
```
data_Zn4W3
_cell_length_a 5.2503
_cell_length_b 5.2503
_cell_length_c 4.8563
_cell_angle_alpha 90.00
_cell_angle_beta 90.00
_cell_angle_gamma 120.00
_symmetry_space_group_name_H-M 'P 6/m m m'
_symmetry_Int_Tables_number 191
_symmetry_space_group_name_Hall '-P 6 2'
loop_
_atom_site_label
_atom_site_type_symbol
_atom_site_fract_x
_atom_site_fract_y
_atom_site_fract_z
_atom_site_occupancy
Zn1 Zn 0.0000 0.0000 0.2418 1
Zn2 Zn 0.3333 0.6667 0.5000 1
W1 W 0.0000 0.5000 0.0000 1
```

**DFT formation energy**: 480.8 meV per atom
**Mass density**: 11.6 Mg/m³
**ΔE to the lowest computed polymorph**: 86 meV per atom

Computed, not measured: a relaxed structure of YAlPd3 at the GGA-PBE level of DFT.

The structure in CIF format:
```
data_YAlPd3
_cell_length_a 5.0303
_cell_length_b 5.0303
_cell_length_c 5.0303
_cell_angle_alpha 90.00
_cell_angle_beta 90.00
_cell_angle_gamma 90.00
_symmetry_space_group_name_H-M 'P m -3 m'
_symmetry_Int_Tables_number 221
_symmetry_space_group_name_Hall '-P 4 2 3'
loop_
_atom_site_label
_atom_site_type_symbol
_atom_site_fract_x
_atom_site_fract_y
_atom_site_fract_z
_atom_site_occupancy
Y1 Y 0.0000 0.0000 0.0000 1
Al1 Al 0.5000 0.5000 0.5000 1
Pd1 Pd 0.0000 0.0000 0.5000 1
```

**DFT formation energy**: 621.0 meV per atom
**Mass density**: 5.7 Mg/m³
**ΔE to the lowest computed polymorph**: 1349 meV per atom

Computed, not measured: a relaxed structure of ZrTl4Sb at the GGA-PBE level of DFT.

The structure in CIF format:
```
data_ZrTl4Sb
_cell_length_a 8.7284
_cell_length_b 8.7284
_cell_length_c 8.7284
_cell_angle_alpha 90.00
_cell_angle_beta 90.00
_cell_angle_gamma 90.00
_symmetry_space_group_name_H-M 'F -4 3 m'
_symmetry_Int_Tables_number 216
_symmetry_space_group_name_Hall 'F -4 2 3'
loop_
_atom_site_label
_atom_site_type_symbol
_atom_site_fract_x
_atom_site_fract_y
_atom_site_fract_z
_atom_site_occupancy
Zr1 Zr 0.0000 0.0000 0.0000 1
Tl1 Tl 0.1254 0.1254 0.3746 1
Sb1 Sb 0.2500 0.2500 0.7500 1
```

**Mass density**: 10.3 Mg/m³
**Energy relative to the elements, uncorrected**: 0.407 eV/atom

Computed, not measured: a relaxed structure of Dy8GaNi2 at the GGA-PBE level of DFT.

The structure in CIF format:
```
data_Dy8GaNi2
_cell_length_a 8.4668
_cell_length_b 13.1509
_cell_length_c 5.3601
_cell_angle_alpha 90.00
_cell_angle_beta 105.27
_cell_angle_gamma 90.00
_symmetry_space_group_name_H-M 'C 1 m 1'
_symmetry_Int_Tables_number 8
_symmetry_space_group_name_Hall 'C -2y'
loop_
_atom_site_label
_atom_site_type_symbol
_atom_site_fract_x
_atom_site_fract_y
_atom_site_fract_z
_atom_site_occupancy
Dy1 Dy 0.0000 0.0000 0.0000 1
Dy2 Dy 0.0893 0.3726 0.7709 1
Dy3 Dy 0.1789 0.1274 0.6092 1
Dy4 Dy 0.2679 0.5000 0.3804 1
Dy5 Dy 0.3840 0.2393 0.1902 1
Ga1 Ga 0.3837 0.0000 0.1922 1
Ni1 Ni 0.3842 0.3036 0.6903 1
```

**DFT formation energy**: -161.8 meV per atom
**Mass density**: 8.6 Mg/m³
**ΔE to the lowest computed polymorph**: 100 meV per atom

- What is the formula in the fourth record?
  YAlPd3